(1)
The following is a PBE calculation of a relaxed structure of Tb7Sm2Dy2, from Alexandria.

```
11
Lattice="8.689 0.642 -0.459 -1.444 6.103 -1.745 -0.657 1.248 6.355" Properties=species:S:1:pos:R:3 pbc="T T T"
Dy 7.560 1.674 0.269
Dy -0.972 6.319 3.882
Tb 4.743 4.984 4.541
Tb 4.344 0.321 -0.230
Tb 1.823 4.696 2.638
Tb 4.765 3.298 1.514
Tb 2.130 1.246 2.554
Tb 1.844 3.010 -0.389
Tb 4.457 6.748 1.597
Sm -1.190 4.535 0.872
Sm 7.777 3.459 3.280
```

Summary:
Space-group type: C2/m (12)
E_form, kJ per mole of atoms: 11.1
Magnetization, μB/f.u.: 0.000
ΔE to the lowest computed polymorph, eV/atom: 0.0000
DOS(E_F), states/eV per atom: 1.59
Raw total energy, eV/cell: -49.79

(2)
The following is a PBE calculation of a relaxed structure of Tb4SmDy, from Alexandria.

```
6
Lattice="5.037 -0.007 0.001 -2.516 5.411 -5.297 0.007 -3.674 10.671" Properties=species:S:1:pos:R:3 pbc="T T T"
Tb 2.523 1.760 1.812
Tb 0.005 -0.030 3.563
Tb 0.009 -0.065 7.136
Tb 2.527 -1.879 8.910
Dy 2.528 1.730 5.376
Sm 0.006 3.571 0.039
```

Summary:
Space-group type: P-1 (2)
E_form, kJ per mole of atoms: 1.5
Magnetization, μB/f.u.: 0.000
ΔE to the lowest computed polymorph, eV/atom: 0.0000
DOS(E_F), states/eV per atom: 1.32
Raw total energy, eV/cell: -27.75

(3)
The following is a PBE calculation of a relaxed structure of TbSm7Dy2, from Alexandria.

```
10
Lattice="5.564 -2.186 1.743 -4.309 7.945 -5.892 2.845 -1.779 10.872" Properties=species:S:1:pos:R:3 pbc="T T T"
Sm 3.169 0.498 1.631
Sm 5.866 -1.587 8.913
Sm -1.615 5.860 1.394
Sm -1.766 5.567 -2.189
Sm 0.931 3.482 5.093
Sm 0.628 2.879 -2.074
Sm 5.715 -1.880 5.329
Tb 0.000 0.000 0.000
Dy 3.330 0.802 5.210
Dy 0.770 3.178 1.513
```

Summary:
Space-group type: P-1 (2)
E_form, kJ per mole of atoms: 1.1
Magnetization, μB/f.u.: 0.000
ΔE to the lowest computed polymorph, eV/atom: 0.0000
DOS(E_F), states/eV per atom: 1.21
Raw total energy, eV/cell: -46.75

(4)
The following is a PBE calculation of a relaxed structure of Tb2Sm5Dy3, from Alexandria.

```
20
Lattice="0.806 0.199 -9.739 9.009 2.218 -3.121 -3.079 -8.633 6.430" Properties=species:S:1:pos:R:3 pbc="T T T"
Dy 2.717 -5.286 0.552
Dy 0.688 -0.189 -7.304
Dy 6.284 -0.373 -1.009
Dy 4.019 -0.930 -6.982
Dy 0.451 -5.844 -5.422
Dy 6.048 -6.027 0.874
Sm 1.447 -3.273 -7.305
Sm 2.826 -1.208 -0.954
Sm 5.537 -2.216 -3.996
Sm 4.806 0.753 -3.996
Sm 7.470 -0.065 -7.037
Sm 1.930 -6.970 -2.435
Sm 5.289 -2.944 0.874
Sm 3.909 -5.008 -5.477
Sm 1.199 -4.001 -2.435
Sm -0.734 -6.152 0.607
Tb 8.241 0.079 -3.571
Tb 2.076 -1.438 -4.420
Tb -1.506 -6.296 -2.859
Tb 4.659 -4.778 -2.011
```

Summary:
Space-group type: C2/c (15)
E_form, kJ per mole of atoms: 18.8
Magnetization, μB/f.u.: 0.000
ΔE to the lowest computed polymorph, eV/atom: 0.0000
DOS(E_F), states/eV per atom: 1.96
Raw total energy, eV/cell: -89.44

> magnetization of number 1 (Tb7Sm2Dy2)?

0.000 μB/f.u.

What did the second record say?
The following is a PBE calculation of a relaxed structure of Tb4SmDy, from Alexandria.

```
6
Lattice="5.037 -0.007 0.001 -2.516 5.411 -5.297 0.007 -3.674 10.671" Properties=species:S:1:pos:R:3 pbc="T T T"
Tb 2.523 1.760 1.812
Tb 0.005 -0.030 3.563
Tb 0.009 -0.065 7.136
Tb 2.527 -1.879 8.910
Dy 2.528 1.730 5.376
Sm 0.006 3.571 0.039
```

Summary:
Space-group type: P-1 (2)
E_form, kJ per mole of atoms: 1.5
Magnetization, μB/f.u.: 0.000
ΔE to the lowest computed polymorph, eV/atom: 0.0000
DOS(E_F), states/eV per atom: 1.32
Raw total energy, eV/cell: -27.75

> Number 1 is which compound?

Tb7Sm2Dy2